Record 1
{
  "formula": "CaMgIn4S8",
  "functional": "GGA-PBE",
  "state": "relaxed",
  "magnetic_moment_mub_per_cell": 0.000,
  "e_form_raw_kcal_per_mol_atoms": -20.0,
  "lattice": [[7.839, 0.000, 0.000], [3.920, 6.789, 0.000], [3.920, 2.263, 6.355]],
  "species": ["Ca", "Mg", "In", "In", "In", "In", "S", "S", "S", "S", "S", "S", "S", "S"],
  "frac_coords": [[0.379, 0.379, 0.862], [0.005, 0.005, 0.986], [0.620, 0.620, 0.139], [0.004, 0.488, 0.505], [0.488, 0.004, 0.505], [0.004, 0.004, 0.505], [0.236, 0.789, 0.739], [0.789, 0.236, 0.739], [0.236, 0.236, 0.739], [0.240, 0.240, 0.279], [0.761, 0.220, 0.257], [0.220, 0.761, 0.257], [0.761, 0.761, 0.257], [0.757, 0.757, 0.730]]
}

Record 2
{
  "formula": "Ir2IN",
  "functional": "GGA-PBE",
  "state": "relaxed",
  "magnetic_moment_mub_per_cell": 0.000,
  "polymorph_energy_ev_per_atom": 0.000,
  "e_form_raw_kcal_per_mol_atoms": 17.7,
  "lattice": [[-4.498, -0.114, 1.958], [-1.432, -3.157, -3.473], [-1.315, -6.258, 2.764]],
  "species": ["I", "I", "Ir", "Ir", "Ir", "Ir", "N", "N"],
  "frac_coords": [[0.000, 0.000, 0.000], [0.750, 0.250, 0.500], [0.492, 0.125, 0.250], [0.258, 0.625, 0.250], [0.375, 0.508, 0.750], [0.875, 0.742, 0.750], [0.500, 0.500, 0.000], [0.250, 0.750, 0.500]]
}

Record 3
{
  "formula": "BaPmTcN4",
  "functional": "GGA-PBE",
  "state": "relaxed",
  "magnetic_moment_mub_per_cell": 0.000,
  "e_form_raw_kcal_per_mol_atoms": -17.2,
  "lattice": [[6.054, 0.000, 0.099], [0.000, 5.921, 0.000], [-2.252, 0.000, 7.141]],
  "species": ["Ba", "Ba", "Pm", "Pm", "Tc", "Tc", "N", "N", "N", "N", "N", "N", "N", "N"],
  "frac_coords": [[0.718, 0.750, 0.926], [0.282, 0.250, 0.074], [0.789, 0.750, 0.450], [0.211, 0.250, 0.550], [0.248, 0.750, 0.329], [0.752, 0.250, 0.671], [0.950, 0.492, 0.706], [0.050, 0.992, 0.294], [0.050, 0.508, 0.294], [0.950, 0.008, 0.706], [0.435, 0.750, 0.175], [0.565, 0.250, 0.825], [0.434, 0.750, 0.562], [0.566, 0.250, 0.438]]
}

Record 4
{
  "formula": "SrHg2BOs",
  "functional": "GGA-PBE",
  "state": "relaxed",
  "e_form_ev_per_atom": 2.33,
  "magnetic_moment_mub_per_cell": 2.262,
  "lattice": [[5.967, 0.000, 0.000], [0.000, 5.034, 0.000], [0.000, 0.000, 5.967]],
  "species": ["Sr", "B", "Os", "Hg", "Hg"],
  "frac_coords": [[0.000, 0.000, 0.000], [0.000, 0.500, 0.000], [0.500, 0.500, 0.500], [0.000, 0.000, 0.500], [0.500, 0.000, 0.000]]
}

Record 5
{
  "formula": "LiBr3",
  "functional": "GGA-PBE",
  "state": "relaxed",
  "magnetic_moment_mub_per_cell": 0.095,
  "polymorph_energy_ev_per_atom": 0.083,
  "e_form_raw_kcal_per_mol_atoms": -14.9,
  "lattice": [[4.404, -7.458, 0.000], [4.404, 7.458, 0.000], [0.000, 0.000, 5.493]],
  "species": ["Li", "Li", "Br", "Br", "Br", "Br", "Br", "Br"],
  "frac_coords": [[0.168, 0.832, 0.250], [0.832, 0.168, 0.750], [0.999, 0.001, 0.750], [0.001, 0.999, 0.250], [0.986, 0.499, 0.750], [0.014, 0.501, 0.250], [0.501, 0.014, 0.750], [0.499, 0.986, 0.250]]
}

Record 6
{
  "formula": "Ac3Tl2Ge",
  "functional": "GGA-PBE",
  "state": "relaxed",
  "e_form_ev_per_atom": -0.41,
  "magnetic_moment_mub_per_cell": 0.000,
  "polymorph_energy_ev_per_atom": 0.000,
  "lattice": [[4.587, 0.000, 0.000], [0.000, 13.599, 0.000], [0.000, 0.000, 13.643]],
  "species": ["Ac", "Ac", "Ac", "Ac", "Ac", "Ac", "Ac", "Ac", "Ac", "Ac", "Ac", "Ac", "Tl", "Tl", "Tl", "Tl", "Tl", "Tl", "Tl", "Tl", "Ge", "Ge", "Ge", "Ge"],
  "frac_coords": [[0.250, 0.376, 0.054], [0.750, 0.624, 0.946], [0.750, 0.876, 0.446], [0.250, 0.124, 0.554], [0.250, 0.714, 0.232], [0.750, 0.286, 0.768], [0.750, 0.214, 0.268], [0.250, 0.786, 0.732], [0.250, 0.457, 0.381], [0.750, 0.543, 0.619], [0.750, 0.957, 0.119], [0.250, 0.043, 0.881], [0.250, 0.698, 0.502], [0.750, 0.302, 0.498], [0.750, 0.198, 0.998], [0.250, 0.802, 0.002], [0.250, 0.007, 0.315], [0.750, 0.993, 0.685], [0.750, 0.507, 0.185], [0.250, 0.493, 0.815], [0.250, 0.131, 0.120], [0.750, 0.869, 0.880], [0.750, 0.631, 0.380], [0.250, 0.369, 0.620]]
}

Record 7
{
  "formula": "Tl6In2Sn",
  "functional": "GGA-PBE",
  "state": "relaxed",
  "e_form_ev_per_atom": 0.02,
  "magnetic_moment_mub_per_cell": 0.000,
  "polymorph_energy_ev_per_atom": 0.003,
  "lattice": [[-0.507, -3.020, 2.120], [-2.855, -4.619, -3.990], [8.640, -6.664, -4.154]],
  "species": ["Tl", "Tl", "Tl", "Tl", "Tl", "Tl", "In", "In", "Sn"],
  "frac_coords": [[0.662, 0.563, 0.114], [0.338, 0.437, 0.886], [0.322, 0.779, 0.577], [0.984, 0.692, 0.341], [0.016, 0.308, 0.659], [0.678, 0.221, 0.423], [0.340, 0.118, 0.202], [0.660, 0.882, 0.798], [0.000, 0.000, 0.000]]
}

Record 8
{
  "formula": "YFe3Rh",
  "functional": "GGA-PBE",
  "state": "relaxed",
  "e_form_ev_per_atom": 0.64,
  "magnetic_moment_mub_per_cell": 8.973,
  "polymorph_energy_ev_per_atom": 0.000,
  "lattice": [[4.636, 0.000, 0.000], [0.000, 4.636, 0.000], [0.000, 0.000, 4.636]],
  "species": ["Y", "Rh", "Fe", "Fe", "Fe"],
  "frac_coords": [[0.500, 0.500, 0.500], [0.000, 0.000, 0.000], [0.000, 0.500, 0.000], [0.000, 0.000, 0.500], [0.500, 0.000, 0.000]]
}

Record 9
{
  "formula": "VIr2Pt",
  "functional": "GGA-PBE",
  "state": "relaxed",
  "e_form_ev_per_atom": -0.42,
  "magnetic_moment_mub_per_cell": 0.000,
  "lattice": [[-1.473, -4.101, 0.054], [4.776, -1.686, 2.211], [-1.781, 0.698, 4.379]],
  "species": ["V", "V", "Ir", "Ir", "Ir", "Ir", "Pt", "Pt"],
  "frac_coords": [[0.000, 0.500, 0.324], [0.500, 0.000, 0.676], [0.000, 0.254, 0.829], [0.000, 0.746, 0.829], [0.500, 0.246, 0.171], [0.500, 0.754, 0.171], [0.000, 0.000, 0.338], [0.500, 0.500, 0.662]]
}

Record 10
{
  "formula": "TiAu3",
  "functional": "GGA-PBE",
  "state": "relaxed",
  "e_form_ev_per_atom": -0.14,
  "magnetic_moment_mub_per_cell": 0.004,
  "lattice": [[2.898, 0.000, 0.000], [0.000, 4.997, 0.000], [-1.449, -2.499, 4.921]],
  "species": ["Au", "Au", "Au", "Ti"],
  "frac_coords": [[0.264, 0.643, 0.527], [0.500, 0.450, 0.000], [0.736, 0.115, 0.473], [0.000, 0.958, 0.000]]
}

Record 11
{
  "formula": "AgSnPtRh",
  "functional": "GGA-PBE",
  "state": "relaxed",
  "e_form_ev_per_atom": -0.23,
  "magnetic_moment_mub_per_cell": 0.000,
  "lattice": [[4.569, 0.000, 0.000], [2.284, 3.957, 0.000], [2.284, 1.319, 3.730]],
  "species": ["Ag", "Rh", "Sn", "Pt"],
  "frac_coords": [[0.000, 0.000, 0.000], [0.250, 0.250, 0.250], [0.500, 0.500, 0.500], [0.750, 0.750, 0.750]]
}

Record 12
{
  "formula": "CuPd2",
  "functional": "GGA-PBE",
  "state": "relaxed",
  "e_form_ev_per_atom": -0.01,
  "magnetic_moment_mub_per_cell": 0.000,
  "polymorph_energy_ev_per_atom": 0.071,
  "lattice": [[-1.302, 1.834, 3.733], [-0.103, -4.348, -0.444], [4.926, -0.307, 1.869]],
  "species": ["Cu", "Cu", "Pd", "Pd", "Pd", "Pd"],
  "frac_coords": [[0.165, 0.330, 0.028], [0.835, 0.670, 0.528], [0.500, 0.000, 0.278], [0.500, 0.000, 0.778], [0.168, 0.336, 0.528], [0.832, 0.664, 0.028]]
}